<i>
The following is a PBE-GGA calculation of a relaxed structure of YEr4Lu2Ni2Te2, from OQMD via LeMat-Bulk.

## Properties
Crystal system = orthorhombic

Unit cell a=3.816 b=15.430 c=9.473 alpha=90.00 beta=90.00 gamma=90.00
Space group Imm2 (No. 44)
Inequivalent atoms, fractional coordinates:
Y: 0.000 0.000 0.000
Er: 0.000 0.132 0.419
Er: 0.000 0.315 0.620
Lu: 0.000 0.353 0.270
Ni: 0.000 0.238 0.928
Te: 0.000 0.000 0.665
Te: 0.000 0.500 0.765

<ii>
The following is a PBE-GGA calculation of a relaxed structure of YEr4Lu2Ni2Te2, from OQMD via LeMat-Bulk.

## Properties
Crystal system = orthorhombic

Unit cell a=3.826 b=15.424 c=9.455 alpha=90.00 beta=90.00 gamma=90.00
Space group Imm2 (No. 44)
Inequivalent atoms, fractional coordinates:
Y: 0.000 0.000 0.000
Er: 0.000 0.133 0.417
Er: 0.000 0.352 0.269
Lu: 0.000 0.315 0.620
Ni: 0.000 0.238 0.929
Te: 0.000 0.000 0.663
Te: 0.000 0.500 0.765

Which one is most stable, and which one is least stable? <ii> is the most stable of them, while <i> is the least stable.

<i>
The following is a PBE-GGA calculation of a relaxed structure of YEr2Lu4Ni2Te2, from OQMD via LeMat-Bulk.

## Properties
Crystal system = orthorhombic

Unit cell a=3.812 b=15.350 c=9.416 alpha=90.00 beta=90.00 gamma=90.00
Space group Imm2 (No. 44)
Inequivalent atoms, fractional coordinates:
Y: 0.000 0.000 0.000
Er: 0.000 0.314 0.622
Lu: 0.000 0.134 0.418
Lu: 0.000 0.352 0.270
Ni: 0.000 0.239 0.928
Te: 0.000 0.000 0.662
Te: 0.000 0.500 0.768

<ii>
The following is a PBE-GGA calculation of a relaxed structure of YEr2Lu4Ni2Te2, from OQMD via LeMat-Bulk.

## Properties
Crystal system = orthorhombic

Unit cell a=3.811 b=15.332 c=9.411 alpha=90.00 beta=90.00 gamma=90.00
Space group Imm2 (No. 44)
Inequivalent atoms, fractional coordinates:
Y: 0.000 0.000 0.000
Er: 0.000 0.352 0.268
Lu: 0.000 0.133 0.417
Lu: 0.000 0.315 0.621
Ni: 0.000 0.239 0.929
Te: 0.000 0.000 0.662
Te: 0.000 0.500 0.766

Which one is most stable, and which one is least stable? <ii> is the most stable of them, while <i> is the least stable.

<i>
The following is a PBE-GGA calculation of a relaxed structure of Y4Er2LuNi2Te2, from OQMD via LeMat-Bulk.

## Properties
Crystal system = orthorhombic

Unit cell a=3.840 b=15.576 c=9.572 alpha=90.00 beta=90.00 gamma=90.00
Space group Imm2 (No. 44)
Inequivalent atoms, fractional coordinates:
Y: 0.000 0.145 0.000
Y: 0.000 0.184 0.351
Er: 0.000 0.367 0.148
Lu: 0.000 0.500 0.730
Ni: 0.000 0.260 0.657
Te: 0.000 0.000 0.495
Te: 0.000 0.500 0.391

<ii>
The following is a PBE-GGA calculation of a relaxed structure of Y4Er2LuNi2Te2, from OQMD via LeMat-Bulk.

## Properties
Crystal system = orthorhombic

Unit cell a=3.838 b=15.552 c=9.548 alpha=90.00 beta=90.00 gamma=90.00
Space group Imm2 (No. 44)
Inequivalent atoms, fractional coordinates:
Y: 0.000 0.131 0.000
Y: 0.000 0.354 0.851
Er: 0.000 0.316 0.201
Lu: 0.000 0.000 0.582
Ni: 0.000 0.238 0.511
Te: 0.000 0.000 0.247
Te: 0.000 0.500 0.345

Which one is most stable, and which one is least stable? <ii> is the most stable of them, while <i> is the least stable.

<i>
The following is a PBE-GGA calculation of a relaxed structure of Er2Lu2O5, from OQMD via LeMat-Bulk.

## Properties
Crystal system = tetragonal

Unit cell a=3.845 b=3.845 c=9.089 alpha=90.00 beta=90.00 gamma=90.00
Space group P4/mmm (No. 123)
Inequivalent atoms, fractional coordinates:
Er: 0.000 0.000 0.000
Er: 0.000 0.000 0.500
Lu: 0.500 0.500 0.243
O: 0.000 0.500 0.149
O: 0.500 0.500 0.500

<ii>
The following is a PBE-GGA calculation of a relaxed structure of Er2Lu2O5, from OQMD via LeMat-Bulk.

## Properties
Crystal system = tetragonal

Unit cell a=3.852 b=3.852 c=9.138 alpha=90.00 beta=90.00 gamma=90.00
Space group P4/mmm (No. 123)
Inequivalent atoms, fractional coordinates:
Er: 0.000 0.000 0.242
Lu: 0.500 0.500 0.000
Lu: 0.500 0.500 0.500
O: 0.000 0.000 0.500
O: 0.000 0.500 0.143

Which one is most stable, and which one is least stable? <i> is the most stable of them, while <ii> is the least stable.

<i>
The following is a PBE-GGA calculation of a relaxed structure of Er3Lu3Sb2Os, from OQMD via LeMat-Bulk.

## Properties
Crystal system = hexagonal

Unit cell a=8.0665 b=8.0665 c=4.1696 alpha=90.00 beta=90.00 gamma=120.00
Space group P-62m (No. 189)
Inequivalent atoms, fractional coordinates:
Er: 0.0000 0.7604 0.0000
Lu: 0.0000 0.3878 0.5000
Sb: 0.3333 0.6667 0.0000
Os: 0.0000 0.0000 0.5000

<ii>
The following is a PBE-GGA calculation of a relaxed structure of Er3Lu3Sb2Os, from OQMD via LeMat-Bulk.

## Properties
Crystal system = hexagonal

Unit cell a=8.0447 b=8.0447 c=4.1915 alpha=90.00 beta=90.00 gamma=120.00
Space group P-62m (No. 189)
Inequivalent atoms, fractional coordinates:
Er: 0.0000 0.3899 0.0000
Lu: 0.0000 0.7652 0.5000
Sb: 0.3333 0.6667 0.5000
Os: 0.0000 0.0000 0.0000

Which one is most stable, and which one is least stable? <ii> is the most stable of them, while <i> is the least stable.

<i>
The following is a PBE-GGA calculation of a relaxed structure of ErLuPd, from OQMD via LeMat-Bulk.

## Properties
Crystal system = orthorhombic

Unit cell a=6.966 b=4.786 c=8.641 alpha=90.00 beta=90.00 gamma=90.00
Space group Pnma (No. 62)
Inequivalent atoms, fractional coordinates:
Er: 0.146 0.250 0.080
Lu: 0.016 0.250 0.672
Pd: 0.239 0.250 0.405

<ii>
The following is a PBE-GGA calculation of a relaxed structure of ErLuPd, from OQMD via LeMat-Bulk.

## Properties
Crystal system = orthorhombic

Unit cell a=6.979 b=4.792 c=8.619 alpha=90.00 beta=90.00 gamma=90.00
Space group Pnma (No. 62)
Inequivalent atoms, fractional coordinates:
Er: 0.016 0.250 0.173
Lu: 0.144 0.250 0.579
Pd: 0.243 0.250 0.905

<iii>
The following is a PBE-GGA calculation of a relaxed structure of ErLuPd, from OQMD via LeMat-Bulk.

## Properties
Crystal system = cubic

Unit cell a=6.778 b=6.778 c=6.778 alpha=90.00 beta=90.00 gamma=90.00
Space group F-43m (No. 216)
Inequivalent atoms, fractional coordinates:
Er: 0.000 0.000 0.000
Lu: 0.000 0.000 0.500
Pd: 0.250 0.250 0.250

Which one is most stable, and which one is least stable? <ii> is the most stable of them, while <iii> is the least stable.